Computed, not measured: a geometry-optimized TaMn3 structure at the PBE level of DFT.

Unit cell a=5.143 b=5.143 c=4.205 alpha=90.00 beta=90.00 gamma=109.99
Fractional coordinates of all 8 atoms:
1 Ta 0.632 0.368 0.250
2 Mn 0.882 0.118 0.750
3 Mn 0.127 0.368 0.250
4 Mn 0.873 0.632 0.750
5 Mn 0.368 0.127 0.750
6 Mn 0.118 0.882 0.250
7 Mn 0.632 0.873 0.250
8 Ta 0.368 0.632 0.750

Properties
D(E_F) in states/eV per cell: 9.83
Volume in Å³ per atom: 13.07
Crystal system: orthorhombic

***

Computed, not measured: a geometry-optimized Ta5Mn3 structure at the PBE level of DFT.

Unit cell a=5.086 b=7.461 c=7.461 alpha=96.68 beta=109.94 gamma=70.06
Fractional coordinates of all 16 atoms:
1 Ta 0.280 0.295 0.854
2 Ta 0.574 0.146 0.295
3 Ta 0.750 0.500 0.500
4 Ta 0.250 0.500 0.501
5 Mn 0.175 0.151 0.501
6 Mn 0.675 0.500 0.849
7 Mn 0.251 0.000 0.001
8 Ta 0.926 0.294 0.147
9 Ta 0.221 0.853 0.295
10 Ta 0.426 0.854 0.706
11 Ta 0.780 0.147 0.706
12 Mn 0.326 0.500 0.151
13 Mn 0.826 0.849 0.500
14 Ta 0.721 0.705 0.147
15 Ta 0.074 0.706 0.854
16 Mn 0.751 0.000 0.000

Properties
D(E_F) in states/eV per cell: 17.37
E above lowest polymorph in kJ per mole of atoms: 18.65
Volume in Å³ per atom: 15.64
Crystal system: tetragonal

***

Computed, not measured: a geometry-optimized Ta4Mn3 structure at the PBE level of DFT.

Unit cell a=11.269 b=11.269 c=11.269 alpha=164.23 beta=164.23 gamma=22.38
Fractional coordinates of all 7 atoms:
1 Mn 0.000 0.000 0.000
2 Ta 0.152 0.152 0.000
3 Ta 0.431 0.431 0.000
4 Mn 0.717 0.717 0.000
5 Mn 0.283 0.283 0.000
6 Ta 0.848 0.848 0.000
7 Ta 0.569 0.569 0.000

Properties
D(E_F) in states/eV per cell: 4.68
E above lowest polymorph in kJ per mole of atoms: 5.67
Volume in Å³ per atom: 15.10
Crystal system: tetragonal

***

Computed, not measured: a geometry-optimized TaMn2 structure at the PBE level of DFT.

Unit cell a=5.102 b=4.259 c=7.480 alpha=90.00 beta=90.00 gamma=90.00
Fractional coordinates of all 12 atoms:
1 Mn 0.831 0.750 0.442
2 Mn 0.331 0.750 0.058
3 Ta 0.828 0.750 0.100
4 Mn 0.669 0.250 0.942
5 Mn 0.966 0.750 0.754
6 Ta 0.672 0.250 0.600
7 Mn 0.034 0.250 0.246
8 Ta 0.172 0.250 0.900
9 Mn 0.169 0.250 0.558
10 Ta 0.328 0.750 0.400
11 Mn 0.466 0.750 0.746
12 Mn 0.534 0.250 0.254

Properties
D(E_F) in states/eV per cell: 11.95
Volume in Å³ per atom: 13.54
Crystal system: orthorhombic

***

Computed, not measured: a geometry-optimized TaMn3 structure at the PBE level of DFT.

Unit cell a=2.772 b=2.772 c=8.474 alpha=90.00 beta=90.00 gamma=120.00
Fractional coordinates of all 4 atoms:
1 Mn 0.000 0.000 0.022
2 Mn 0.333 0.667 0.250
3 Mn 0.000 0.000 0.478
4 Ta 0.333 0.667 0.750

Properties
D(E_F) in states/eV per cell: 7.48
Volume in Å³ per atom: 14.10
Crystal system: hexagonal

***

Computed, not measured: a geometry-optimized TaMn3 structure at the PBE level of DFT.

Unit cell a=5.290 b=5.290 c=4.394 alpha=90.00 beta=90.00 gamma=120.00
Fractional coordinates of all 8 atoms:
1 Mn 0.844 0.156 0.250
2 Mn 0.156 0.844 0.750
3 Mn 0.844 0.687 0.250
4 Mn 0.687 0.844 0.750
5 Ta 0.667 0.333 0.750
6 Ta 0.333 0.667 0.250
7 Mn 0.313 0.156 0.250
8 Mn 0.156 0.313 0.750

Properties
D(E_F) in states/eV per cell: 7.85
Volume in Å³ per atom: 13.31
Crystal system: hexagonal

***

Computed, not measured: a geometry-optimized Ta5Mn3 structure at the PBE level of DFT.

Unit cell a=3.097 b=3.097 c=12.837 alpha=90.00 beta=90.00 gamma=90.00
Fractional coordinates of all 8 atoms:
1 Ta 0.500 0.500 0.618
2 Mn 0.500 0.500 0.119
3 Mn 0.500 0.500 0.881
4 Ta 0.000 0.000 0.237
5 Ta 0.000 0.000 0.000
6 Ta 0.000 0.000 0.763
7 Ta 0.500 0.500 0.382
8 Mn 0.000 0.000 0.500

Properties
D(E_F) in states/eV per cell: 3.06
E above lowest polymorph in kJ per mole of atoms: 0.00
Volume in Å³ per atom: 15.39
Crystal system: tetragonal

***

Computed, not measured: a geometry-optimized Ta5Mn structure at the PBE level of DFT.

Unit cell a=3.224 b=4.649 c=7.196 alpha=108.85 beta=90.00 gamma=90.00
Fractional coordinates of all 6 atoms:
1 Ta 0.000 0.668 0.337
2 Ta 0.500 0.845 0.689
3 Ta 0.000 0.332 0.663
4 Mn 0.000 0.000 0.000
5 Ta 0.500 0.155 0.311
6 Ta 0.500 0.500 0.000

Properties
D(E_F) in states/eV per cell: 7.17
E above lowest polymorph in kJ per mole of atoms: 3.17
Volume in Å³ per atom: 17.01
Crystal system: orthorhombic

***

Computed, not measured: a geometry-optimized Ta3Mn2 structure at the PBE level of DFT.

Unit cell a=3.087 b=3.087 c=15.941 alpha=90.00 beta=90.00 gamma=90.00
Fractional coordinates of all 10 atoms:
1 Ta 0.500 0.500 0.000
2 Ta 0.000 0.000 0.500
3 Ta 0.000 0.000 0.691
4 Ta 0.000 0.000 0.309
5 Ta 0.000 0.000 0.118
6 Mn 0.500 0.500 0.212
7 Mn 0.500 0.500 0.788
8 Mn 0.500 0.500 0.596
9 Mn 0.500 0.500 0.404
10 Ta 0.000 0.000 0.882

Properties
D(E_F) in states/eV per cell: 4.07
E above lowest polymorph in kJ per mole of atoms: 0.00
Volume in Å³ per atom: 15.19
Crystal system: tetragonal

***

Computed, not measured: a geometry-optimized Ta3Mn2 structure at the PBE level of DFT.

Unit cell a=4.237 b=4.237 c=5.269 alpha=90.00 beta=90.00 gamma=120.00
Fractional coordinates of all 5 atoms:
1 Mn 0.667 0.333 0.165
2 Ta 0.000 0.000 0.000
3 Mn 0.333 0.667 0.835
4 Ta 0.333 0.667 0.342
5 Ta 0.667 0.333 0.658

Properties
D(E_F) in states/eV per cell: 3.03
E above lowest polymorph in kJ per mole of atoms: 24.66
Volume in Å³ per atom: 16.39
Crystal system: trigonal

***

Computed, not measured: a geometry-optimized Ta5Mn structure at the PBE level of DFT.

Unit cell a=5.408 b=5.408 c=5.408 alpha=60.00 beta=60.00 gamma=60.00
Fractional coordinates of all 6 atoms:
1 Mn 0.000 0.000 0.000
2 Ta 0.624 0.127 0.624
3 Ta 0.250 0.250 0.250
4 Ta 0.624 0.624 0.127
5 Ta 0.127 0.624 0.624
6 Ta 0.624 0.624 0.624

Properties
D(E_F) in states/eV per cell: 6.87
E above lowest polymorph in kJ per mole of atoms: 43.17
Volume in Å³ per atom: 18.64
Crystal system: cubic

***

Computed, not measured: a geometry-optimized Ta5Mn3 structure at the PBE level of DFT.

Unit cell a=5.432 b=5.432 c=4.414 alpha=90.00 beta=90.00 gamma=70.61
Fractional coordinates of all 8 atoms:
1 Ta 0.260 0.740 0.500
2 Ta 0.000 0.000 0.000
3 Mn 0.250 0.250 0.500
4 Ta 0.000 0.500 0.000
5 Ta 0.500 0.000 0.000
6 Mn 0.750 0.750 0.500
7 Mn 0.500 0.500 0.000
8 Ta 0.740 0.260 0.500

Properties
D(E_F) in states/eV per cell: 3.98
E above lowest polymorph in kJ per mole of atoms: 7.90
Volume in Å³ per atom: 15.36
Crystal system: orthorhombic

***

| no. | ΔE_f (meV per atom) |
| --- | --- |
| 1 | 2 |
| 2 | 11 |
| 3 | -49 |
| 4 | 28 |
| 5 | 323 |
| 6 | 135 |
| 7 | -182 |
| 8 | -16 |
| 9 | -181 |
| 10 | 74 |
| 11 | 399 |
| 12 | -100 |